The following is a GGA-PBE calculation of an optimized crystal structure of PrNd3Tm, from Alexandria.

Computed properties:
The formation enthalpy at 0 K is 1.6 eV per formula unit. The total magnetic moment is 0.00 μB/f.u. For the calculated density, the calculation gives 6.87 Mg/m³. The value obtained for the energy above the most stable polymorph in this dataset is 0.314 eV/atom.

Cell lengths 8.1535, 8.1535, 6.2262 Å; angles 90.00, 90.00, 60.19 degrees
Last column: nearest neighbours and their distance in Å.
Element x y z (fractional)
Pr: 0.2014 0.2014 0.2500  4 Nd 3.24-3.25
Pr: 0.7986 0.7986 0.7500  4 Nd 3.24-3.25
Nd: 0.5987 0.2029 0.2500  3 Nd 3.24, 1 Pr 3.25
Nd: 0.2029 0.5987 0.2500  3 Nd 3.24, 1 Pr 3.25
Nd: 0.7971 0.4013 0.7500  3 Nd 3.24, 1 Pr 3.25
Nd: 0.4013 0.7971 0.7500  3 Nd 3.24, 1 Pr 3.25
Nd: 0.0000 0.0000 0.0000  6 Nd 3.11-3.24, 2 Pr 3.24
Nd: 0.0000 0.0000 0.5000  6 Nd 3.11-3.24, 2 Pr 3.24
Tm: 0.6647 0.6647 0.2500  6 Nd 3.63-4.06, 2 Pr 3.64
Tm: 0.3353 0.3353 0.7500  6 Nd 3.63-4.06, 2 Pr 3.64